DFT (PBE) results for a relaxed structure of LiHoMnIr.

```
16
Lattice="6.548 0.000 0.000 0.000 6.548 0.000 0.000 0.000 6.548" Properties=species:S:1:pos:R:3 pbc="T T T"
Li 0.000 0.000 0.000
Li 0.000 3.274 3.274
Li 3.274 0.000 3.274
Li 3.274 3.274 0.000
Ho 1.637 1.637 1.637
Ho 1.637 4.911 4.911
Ho 4.911 1.637 4.911
Ho 4.911 4.911 1.637
Mn 1.637 1.637 4.911
Mn 1.637 4.911 1.637
Mn 4.911 1.637 1.637
Mn 4.911 4.911 4.911
Ir 0.000 0.000 3.274
Ir 0.000 3.274 0.000
Ir 3.274 0.000 0.000
Ir 3.274 3.274 3.274
```

- space-group type = No. 216
- crystal system = cubic
- final energy (eV/atom) = -6.398
- formation energy from the elements (meV/atom) = -267.6